(1)
Ce11In9Ni4: optimized geometry, PBE-GGA.

The structure in POSCAR format:
```
Ce11In9Ni4
1.0
13.104 0.285 0.000
-4.697 12.237 0.000
0.000 0.000 3.651
In Ni Ce
9 4 11
Direct
0.229 0.086 0.500
0.086 0.229 0.500
0.500 0.500 0.500
0.161 0.642 0.500
0.358 0.839 0.500
0.839 0.358 0.500
0.914 0.771 0.500
0.771 0.914 0.500
0.642 0.161 0.500
0.250 0.455 0.500
0.750 0.545 0.500
0.455 0.250 0.500
0.545 0.750 0.500
0.373 0.627 0.000
0.147 0.853 0.000
0.068 0.430 0.000
0.627 0.373 0.000
0.853 0.147 0.000
0.683 0.683 0.000
0.932 0.570 0.000
0.430 0.068 0.000
0.317 0.317 0.000
0.570 0.932 0.000
0.000 0.000 0.000
```

Values from the calculation:
space-group type: Cmmm (65)
calculated formation energy: -0.4035 eV per atom
magnetic moment: 6.78 Bohr magnetons per cell

=====

(2)
Ce3InNi: optimized geometry, PBE-GGA.

The structure in POSCAR format:
```
Ce3InNi
1.0
3.404 0.002 0.000
1.699 6.686 0.000
0.000 0.000 11.190
Ce In Ni
6 2 2
Direct
0.022 0.956 0.000
0.342 0.316 0.227
0.658 0.684 0.273
0.978 0.044 0.500
0.342 0.316 0.773
0.658 0.684 0.727
0.747 0.506 0.000
0.253 0.494 0.500
0.000 0.000 0.750
0.000 0.000 0.250
```

Values from the calculation:
ΔE to the lowest computed polymorph: 0 meV per atom
space-group type: Cmcm (63)
calculated formation energy: -0.1921 eV per atom
magnetic moment: 2.71 Bohr magnetons per cell

=====

(3)
CeIn2Ni9: optimized geometry, PBE-GGA.

The structure in POSCAR format:
```
CeIn2Ni9
1.0
4.923 0.000 0.000
2.462 4.264 0.000
2.462 1.421 7.908
Ni Ce In
9 1 2
Direct
0.334 0.334 0.999
0.586 0.586 0.747
0.414 0.414 0.253
0.081 0.586 0.747
0.500 0.500 0.500
0.919 0.414 0.253
0.414 0.919 0.253
0.586 0.081 0.747
0.666 0.666 0.001
0.000 0.000 0.000
0.141 0.141 0.576
0.859 0.859 0.424
```

Values from the calculation:
ΔE to the lowest computed polymorph: 0 meV per atom
space-group type: R-3m (166)
calculated formation energy: -0.2296 eV per atom
magnetic moment: 1.10 Bohr magnetons per cell

=====

(4)
Ce4InNi: optimized geometry, PBE-GGA.

The structure in POSCAR format:
```
Ce4InNi
1.0
5.947 -0.547 0.000
-2.222 7.376 0.000
-1.862 -3.414 7.127
Ni Ce In
2 8 2
Direct
0.741 0.991 0.983
0.259 0.009 0.017
0.305 0.866 0.614
0.042 0.182 0.831
0.695 0.134 0.386
0.191 0.252 0.386
0.809 0.748 0.614
0.290 0.649 0.831
0.958 0.818 0.169
0.710 0.351 0.169
0.638 0.388 0.776
0.362 0.612 0.224
```

Values from the calculation:
space-group type: C2/c (15)
calculated formation energy: -0.1708 eV per atom
magnetic moment: 0.00 Bohr magnetons per cell

=====

(5)
CeIn2Ni9: optimized geometry, PBE-GGA.

The structure in POSCAR format:
```
CeIn2Ni9
1.0
4.843 0.000 0.000
0.000 8.273 0.000
0.000 0.000 8.273
In Ni Ce
4 18 2
Direct
0.000 0.376 0.876
0.000 0.624 0.124
0.000 0.876 0.624
0.000 0.124 0.376
0.500 0.436 0.705
0.752 0.677 0.823
0.500 0.795 0.064
0.248 0.323 0.177
0.752 0.177 0.677
0.500 0.564 0.295
0.500 0.000 0.500
0.500 0.205 0.936
0.752 0.823 0.323
0.500 0.295 0.436
0.752 0.323 0.177
0.500 0.705 0.564
0.248 0.177 0.677
0.500 0.064 0.205
0.500 0.500 0.000
0.248 0.677 0.823
0.500 0.936 0.795
0.248 0.823 0.323
0.000 0.000 0.000
0.000 0.500 0.500
```

Values from the calculation:
ΔE to the lowest computed polymorph: 9 meV per atom
space-group type: P4/mbm (127)
calculated formation energy: -0.2203 eV per atom
magnetic moment: 1.32 Bohr magnetons per cell

=====

(6)
Ce2InNi: optimized geometry, PBE-GGA.

The structure in POSCAR format:
```
Ce2InNi
1.0
3.761 0.000 0.000
1.880 3.257 0.000
1.880 1.086 8.572
In Ce Ni
1 2 1
Direct
0.500 0.500 0.500
0.733 0.733 0.800
0.267 0.267 0.200
0.000 0.000 0.000
```

Values from the calculation:
ΔE to the lowest computed polymorph: 140 meV per atom
space-group type: R-3m (166)
calculated formation energy: -0.1669 eV per atom
magnetic moment: 1.21 Bohr magnetons per cell

=====

(7)
Ce2InNi12P3: optimized geometry, PBE-GGA.

The structure in POSCAR format:
```
Ce2InNi12P3
1.0
7.167 -0.168 -0.119
3.393 6.315 -0.119
3.393 1.975 6.000
Ni P In Ce
12 3 1 2
Direct
0.893 0.347 0.347
0.412 0.853 0.853
0.853 0.412 0.853
0.653 0.653 0.107
0.147 0.588 0.147
0.653 0.107 0.653
0.588 0.147 0.147
0.853 0.853 0.412
0.107 0.653 0.653
0.147 0.147 0.588
0.347 0.893 0.347
0.347 0.347 0.893
0.000 0.000 0.500
0.500 0.000 0.000
0.000 0.500 0.000
0.000 0.000 0.000
0.609 0.609 0.609
0.391 0.391 0.391
```

Values from the calculation:
space-group type: R-3m (166)
calculated formation energy: -0.0929 eV per atom
magnetic moment: 0.00 Bohr magnetons per cell

=====

(8)
CeInNiPt: optimized geometry, PBE-GGA.

The structure in POSCAR format:
```
CeInNiPt
1.0
-3.830 -1.767 -2.280
0.190 -0.829 -4.719
0.055 -4.505 -1.643
Pt Ni In Ce
1 1 1 1
Direct
0.000 0.000 0.000
0.500 0.500 0.500
0.250 0.250 0.250
0.750 0.750 0.750
```

Values from the calculation:
space-group type: F-43m (216)
calculated formation energy: -0.5766 eV per atom
magnetic moment: 0.00 Bohr magnetons per cell

=====

(9)
CePuInNi: optimized geometry, PBE-GGA.

The structure in POSCAR format:
```
CePuInNi
1.0
4.946 0.000 0.000
2.473 4.284 0.000
2.473 1.428 4.039
Ce Pu Ni In
1 1 1 1
Direct
0.000 0.000 0.000
0.750 0.750 0.750
0.250 0.250 0.250
0.500 0.500 0.500
```

Values from the calculation:
space-group type: F-43m (216)
calculated formation energy: -0.1219 eV per atom
magnetic moment: 7.00 Bohr magnetons per cell

=====

(10)
CeInNiRh: optimized geometry, PBE-GGA.

The structure in POSCAR format:
```
CeInNiRh
1.0
-1.805 2.692 -3.452
-4.345 -0.882 -1.663
-3.547 2.992 0.940
In Ce Rh Ni
1 1 1 1
Direct
0.500 0.500 0.500
0.000 0.000 0.000
0.750 0.750 0.750
0.250 0.250 0.250
```

Values from the calculation:
space-group type: F-43m (216)
calculated formation energy: -0.4558 eV per atom
magnetic moment: 0.02 Bohr magnetons per cell

=====

(11)
CeInNiRu: optimized geometry, PBE-GGA.

The structure in POSCAR format:
```
CeInNiRu
1.0
4.708 0.000 0.000
2.354 4.077 0.000
2.354 1.359 3.844
Ru In Ce Ni
1 1 1 1
Direct
0.750 0.750 0.750
0.000 0.000 0.000
0.500 0.500 0.500
0.250 0.250 0.250
```

Values from the calculation:
space-group type: F-43m (216)
calculated formation energy: -0.2412 eV per atom
magnetic moment: 0.00 Bohr magnetons per cell

=====

(12)
Ce2InNiS5: optimized geometry, PBE-GGA.

The structure in POSCAR format:
```
Ce2InNiS5
1.0
3.828 0.000 0.000
-1.914 7.990 0.000
0.000 0.000 11.877
S Ce In Ni
10 4 2 2
Direct
0.692 0.385 0.848
0.667 0.335 0.518
0.304 0.608 0.688
0.308 0.615 0.348
0.498 0.995 0.757
0.994 0.987 0.514
0.006 0.013 0.014
0.333 0.665 0.018
0.696 0.392 0.188
0.502 0.005 0.257
0.885 0.769 0.847
0.880 0.761 0.198
0.115 0.231 0.347
0.120 0.239 0.698
0.170 0.340 0.030
0.830 0.660 0.530
0.562 0.124 0.925
0.438 0.876 0.425
```

Values from the calculation:
space-group type: Cmc2_1 (36)
formation energy (no corrections): -1.284 eV per atom
magnetic moment: 2.10 Bohr magnetons per cell

=====

(13)
Ce2InNi4Sb3: optimized geometry, PBE-GGA.

The structure in POSCAR format:
```
Ce2InNi4Sb3
1.0
4.401 0.000 0.000
0.000 4.401 0.000
0.000 0.000 10.211
Ni In Sb Ce
4 1 3 2
Direct
0.000 0.500 0.369
0.500 0.000 0.631
0.500 0.500 0.000
0.000 0.000 0.000
0.500 0.500 0.500
0.000 0.000 0.500
0.000 0.500 0.127
0.500 0.000 0.873
0.000 0.500 0.764
0.500 0.000 0.236
```

Values from the calculation:
space-group type: P-4m2 (115)
formation energy (no corrections): -0.588 eV per atom
magnetic moment: 1.13 Bohr magnetons per cell

=====

(14)
Ce2InNi4Sn3: optimized geometry, PBE-GGA.

The structure in POSCAR format:
```
Ce2InNi4Sn3
1.0
4.436 0.000 0.000
0.000 4.436 0.000
0.000 0.000 10.177
Ni Sn Ce In
4 3 2 1
Direct
0.000 0.500 0.368
0.000 0.000 0.000
0.500 0.500 0.000
0.500 0.000 0.632
0.500 0.000 0.875
0.000 0.500 0.125
0.000 0.000 0.500
0.000 0.500 0.765
0.500 0.000 0.235
0.500 0.500 0.500
```

Values from the calculation:
space-group type: P-4m2 (115)
calculated formation energy: -0.4598 eV per atom
magnetic moment: 1.34 Bohr magnetons per cell

=====

(15)
Ce2Zn2InNi5: optimized geometry, PBE-GGA.

The structure in POSCAR format:
```
Ce2Zn2InNi5
1.0
3.582 0.000 0.000
0.000 9.562 0.000
0.000 0.000 9.562
Zn In Ni Ce
4 2 10 4
Direct
0.000 0.885 0.385
0.000 0.115 0.615
0.000 0.615 0.885
0.000 0.385 0.115
0.000 0.000 0.000
0.000 0.500 0.500
0.500 0.500 0.000
0.500 0.062 0.785
0.500 0.215 0.062
0.500 0.715 0.438
0.500 0.438 0.285
0.500 0.562 0.715
0.500 0.000 0.500
0.500 0.785 0.938
0.500 0.938 0.215
0.500 0.285 0.562
0.000 0.319 0.819
0.000 0.819 0.681
0.000 0.681 0.181
0.000 0.181 0.319
```

Values from the calculation:
space-group type: P4/mbm (127)
calculated formation energy: -0.1914 eV per atom
magnetic moment: 2.27 Bohr magnetons per cell

=====

(16)
CeNp2In9: optimized geometry, PBE-GGA.

The structure in POSCAR format:
```
CeNp2In9
1.0
4.671 0.000 0.000
0.000 4.671 0.000
0.000 0.000 14.025
In Np Ce
9 2 1
Direct
0.500 0.500 0.666
0.500 0.500 0.000
0.000 0.500 0.830
0.500 0.500 0.334
0.000 0.500 0.500
0.500 0.000 0.830
0.500 0.000 0.170
0.500 0.000 0.500
0.000 0.500 0.170
0.000 0.000 0.665
0.000 0.000 0.335
0.000 0.000 0.000
```

Values from the calculation:
space-group type: P4/mmm (123)
calculated formation energy: -0.1376 eV per atom
magnetic moment: 9.45 Bohr magnetons per cell

=====

(17)
Ce3NpIn12: optimized geometry, PBE-GGA.

The structure in POSCAR format:
```
Ce3NpIn12
1.0
-3.824 0.955 2.540
0.613 -3.972 2.416
10.597 9.229 12.487
In Ce Np
12 3 1
Direct
0.500 0.500 0.000
0.500 0.000 0.877
0.000 0.500 0.123
0.500 0.500 0.500
0.500 0.500 0.249
0.000 0.500 0.626
0.500 0.000 0.123
0.000 0.500 0.877
0.500 0.000 0.626
0.500 0.500 0.751
0.000 0.500 0.374
0.500 0.000 0.374
0.000 0.000 0.500
0.000 0.000 0.751
0.000 0.000 0.249
0.000 0.000 0.000
```

Values from the calculation:
space-group type: P4/mmm (123)
calculated formation energy: -0.3055 eV per atom
magnetic moment: 6.62 Bohr magnetons per cell

=====

(18)
CeNpIn6: optimized geometry, PBE-GGA.

The structure in POSCAR format:
```
CeNpIn6
1.0
-3.682 2.797 0.715
0.356 -0.711 4.611
5.735 7.372 0.694
Ce In Np
1 6 1
Direct
0.000 0.000 0.000
0.500 0.500 0.000
0.000 0.500 0.747
0.500 0.000 0.747
0.500 0.500 0.500
0.500 0.000 0.253
0.000 0.500 0.253
0.000 0.000 0.500
```

Values from the calculation:
space-group type: P4/mmm (123)
calculated formation energy: -0.2054 eV per atom
magnetic moment: 5.15 Bohr magnetons per cell

=====

(19)
Ce4In2O: optimized geometry, PBE-GGA.

The structure in POSCAR format:
```
Ce4In2O
1.0
4.805 0.000 0.000
0.000 4.805 0.000
-2.403 -2.403 8.315
In Ce O
2 4 1
Direct
0.638 0.638 0.276
0.362 0.362 0.724
0.500 0.000 0.000
0.167 0.167 0.334
0.000 0.500 0.000
0.833 0.833 0.666
0.000 0.000 0.000
```

Values from the calculation:
space-group type: I4/mmm (139)
formation energy (no corrections): -0.905 eV per atom
magnetic moment: 4.07 Bohr magnetons per cell

=====

(20)
Ce2InO2: optimized geometry, PBE-GGA.

The structure in POSCAR format:
```
Ce2InO2
1.0
-1.711 -3.366 -1.254
3.094 -0.676 -2.408
2.397 -1.383 6.754
In O Ce
1 2 2
Direct
0.000 0.000 0.000
0.250 0.750 0.500
0.750 0.250 0.500
0.338 0.338 0.677
0.662 0.662 0.323
```

Values from the calculation:
space-group type: I4/mmm (139)
formation energy (no corrections): -2.391 eV per atom
magnetic moment: 0.75 Bohr magnetons per cell

=====

Computed D(E_F), in the same sequence as the records: 2.0612; 2.3861; 1.3285; 2.2123; 1.6037; 2.2885; 0.5877; 0.9908; 1.7395; 1.1916; 1.0651; 0.9989; 1.3743; 1.3211; 1.3573; 2.4862; 1.9678; 2.2808; 3.2296; 1.4912 states/eV/atom.